Record 1
The following is a DFT calculation (PBE) of a relaxed structure of Sm5AgSn2.

Cell lengths 7.0653, 7.0653, 6.7231 Å; angles 121.70, 121.70, 90.05 degrees
Closest atoms and distances in Å follow each position.
Element x y z (fractional)
Sn: 0.7222 0.2222 0.4445  10 Sm 3.36-3.53, 2 Ag 3.53
Sn: 0.2222 0.7222 0.4445  10 Sm 3.36-3.53, 2 Ag 3.53
Sm: 0.2223 0.7220 0.9444  2 Ag 3.36-3.37, 4 Sn 3.36, 6 Sm 3.36-3.53
Sm: 0.7221 0.2223 0.9444  2 Ag 3.36-3.37, 4 Sn 3.36, 6 Sm 3.36-3.53
Sm: 0.7220 0.7220 0.9444  2 Ag 3.35-3.36, 6 Sm 3.36-3.53, 4 Sn 3.36
Sm: 0.2223 0.2223 0.9444  2 Ag 3.36-3.37, 6 Sm 3.36-3.53, 4 Sn 3.36
Sm: 0.7226 0.7226 0.4451  8 Sm 3.36, 4 Sn 3.53
Ag: 0.2212 0.2212 0.4424  8 Sm 3.35-3.37, 4 Sn 3.53

Summary:
Its final energy is -4.726 eV per atom. Its crystal system is tetragonal. The energy of formation is -9.68 kcal/mol of atoms.

Record 2
The following is a DFT calculation (PBE) of a relaxed structure of Dy2TmUSb4.

Cell lengths 4.3526, 7.5805, 7.5718 Å; angles 109.11, 90.00, 90.00 degrees
Closest atoms and distances in Å follow each position.
Element x y z (fractional)
Sb: 0.5000 0.7514 0.7533  1 U 3.07, 2 Tm 3.08, 3 Dy 3.10-3.11
Sb: 0.0000 0.7523 0.2500  1 Tm 3.07, 3 Dy 3.09-3.10, 2 U 3.10
Sb: 0.5000 0.2486 0.2467  1 U 3.07, 2 Tm 3.08, 3 Dy 3.10-3.11
Sb: 0.0000 0.2477 0.7500  1 Tm 3.07, 3 Dy 3.09-3.10, 2 U 3.10
Dy: 0.0000 0.5000 0.5000  6 Sb 3.10-3.11
Dy: 0.5000 0.0000 0.5000  6 Sb 3.09-3.10
Tm: 0.0000 0.0000 0.0000  6 Sb 3.07-3.08
U: 0.5000 0.5000 0.0000  6 Sb 3.07-3.10

Summary:
Its final energy is -6.051 eV per atom. Its crystal system is monoclinic. The energy relative to the elements, uncorrected comes out at -0.87 eV per atom.

Record 3
The following is a DFT calculation (PBE) of a relaxed structure of Pm2PaGe.

Cell lengths 5.2947, 5.2947, 5.2947 Å; angles 60.00, 60.00, 60.00 degrees
Closest atoms and distances in Å follow each position.
Element x y z (fractional)
Ge: 0.5000 0.5000 0.5000  8 Pm 3.24
Pm: 0.2500 0.2500 0.2500  4 Ge 3.24, 4 Pa 3.24
Pm: 0.7500 0.7500 0.7500  4 Ge 3.24, 4 Pa 3.24
Pa: 0.0000 0.0000 0.0000  8 Pm 3.24

Summary:
Its final energy is -5.763 eV per atom. Its crystal system is cubic. The energy of formation is 3.25 kcal/mol of atoms. For the excess energy over the best structure of this formula in the dataset, the calculation gives 305.0 meV/atom.

Record 4
The following is a DFT calculation (PBE) of a relaxed structure of Pr6SbS5.

Cell lengths 7.2727, 7.2482, 7.2488 Å; angles 60.00, 80.39, 70.49 degrees
Closest atoms and distances in Å follow each position.
Element x y z (fractional)
Pr: 0.2630 0.9121 0.6530  5 S 2.89-2.98, 1 Sb 3.09
Pr: 0.2630 0.5651 0.3470  5 S 2.89-2.98, 1 Sb 3.09
Pr: 0.2600 0.2612 0.0000  5 S 2.84-2.97, 1 Sb 3.09
Pr: 0.7370 0.0879 0.3470  5 S 2.89-2.98, 1 Sb 3.09
Pr: 0.7370 0.4349 0.6530  5 S 2.89-2.98, 1 Sb 3.09
Pr: 0.7400 0.7388 0.0000  5 S 2.84-2.97, 1 Sb 3.09
S: 0.5000 0.5000 0.0000  6 Pr 2.84-2.95
S: 0.5000 0.1600 0.6800  6 Pr 2.89-2.96
S: 0.5000 0.8400 0.3200  6 Pr 2.89-2.96
S: 0.0000 0.6674 0.6652  6 Pr 2.97-2.98
S: 0.0000 0.3326 0.3348  6 Pr 2.97-2.98
Sb: 0.0000 0.0000 0.0000  6 Pr 3.09

Summary:
Its final energy is -6.304 eV per atom. Its crystal system is monoclinic. The energy relative to the elements, uncorrected comes out at -1.85 eV per atom.

Record 5
The following is a DFT calculation (PBE) of a relaxed structure of TaMnAu2.

Cell lengths 9.2935, 9.2935, 9.2935 Å; angles 18.33, 18.33, 18.33 degrees
Closest atoms and distances in Å follow each position.
Element x y z (fractional)
Au: 0.5039 0.5039 0.5039  3 Mn 2.77, 3 Ta 2.94, 6 Au 2.96
Au: 0.9961 0.9961 0.9961  3 Mn 2.77, 3 Ta 2.94, 6 Au 2.96
Ta: 0.7500 0.7500 0.7500  6 Au 2.94, 6 Ta 2.96
Mn: 0.2500 0.2500 0.2500  6 Au 2.77, 6 Mn 2.96

Summary:
Its final energy is -6.777 eV per atom. Its crystal system is trigonal. The energy of formation is 2.71 kcal/mol of atoms.

Record 6
The following is a DFT calculation (PBE) of a relaxed structure of Ti2GeP2.

Cell lengths 6.8623, 6.8623, 3.2873 Å; angles 90.00, 90.00, 90.00 degrees
Closest atoms and distances in Å follow each position.
Element x y z (fractional)
Ti: 0.8466 0.6534 0.0000  6 P 2.60, 2 Ge 2.60
Ti: 0.3466 0.8466 0.0000  6 P 2.60, 2 Ge 2.60
Ti: 0.1534 0.3466 0.0000  6 P 2.60, 2 Ge 2.60
Ti: 0.6534 0.1534 0.0000  6 P 2.60, 2 Ge 2.60
P: 0.3607 0.1393 0.5000  6 Ti 2.60, 1 P 2.70
P: 0.6393 0.8607 0.5000  6 Ti 2.60, 1 P 2.70
P: 0.1393 0.6393 0.5000  6 Ti 2.60, 1 P 2.70
P: 0.8607 0.3607 0.5000  6 Ti 2.60, 1 P 2.70
Ge: 0.0000 0.0000 0.0000  4 Ti 2.60
Ge: 0.5000 0.5000 0.0000  4 Ti 2.60

Summary:
Its final energy is -6.896 eV per atom. Its crystal system is tetragonal. The energy of formation is -15.00 kcal/mol of atoms. For the excess energy over the best structure of this formula in the dataset, the calculation gives 0.0 meV/atom.

Record 7
The following is a DFT calculation (PBE) of a relaxed structure of Zr2TcHOs.

Cell lengths 4.6748, 4.6748, 3.4045 Å; angles 90.00, 90.00, 90.00 degrees
Closest atoms and distances in Å follow each position.
Element x y z (fractional)
Os: 0.5000 0.5000 0.5000  8 Zr 2.89
H: 0.0000 0.0000 0.0000  2 Tc 1.70
Zr: 0.5000 0.0000 0.0000  2 H 2.34
Zr: 0.0000 0.5000 0.0000  2 H 2.34
Tc: 0.0000 0.0000 0.5000  2 H 1.70

Summary:
Its final energy is -8.794 eV per atom. Its crystal system is tetragonal. For the excess energy over the best structure of this formula in the dataset, the calculation gives 0.0 meV/atom.

Record 8
The following is a DFT calculation (PBE) of a relaxed structure of La12Y3Ho.

Cell lengths 5.2144, 5.2144, 20.8407 Å; angles 90.00, 90.00, 90.00 degrees
Closest atoms and distances in Å follow each position.
Element x y z (fractional)
La: 0.0000 0.5000 0.6254  8 La 3.69, 4 Y 3.69
La: 0.5000 0.0000 0.8758  8 La 3.67-3.69, 2 Ho 3.67, 2 Y 3.69
La: 0.5000 0.0000 0.3746  8 La 3.69, 4 Y 3.69
La: 0.5000 0.5000 0.2492  8 La 3.69, 4 Y 3.69
La: 0.0000 0.5000 0.3746  8 La 3.69, 4 Y 3.69
La: 0.5000 0.5000 0.7508  8 La 3.69, 4 Y 3.69
La: 0.5000 0.5000 0.0000  8 La 3.67, 4 Ho 3.69
La: 0.5000 0.0000 0.1242  8 La 3.67-3.69, 2 Ho 3.67, 2 Y 3.69
La: 0.0000 0.5000 0.1242  8 La 3.67-3.69, 2 Ho 3.67, 2 Y 3.69
La: 0.0000 0.5000 0.8758  8 La 3.67-3.69, 2 Ho 3.67, 2 Y 3.69
La: 0.5000 0.0000 0.6254  8 La 3.69, 4 Y 3.69
La: 0.5000 0.5000 0.5000  4 Y 3.69, 8 La 3.69
Ho: 0.0000 0.0000 0.0000  12 La 3.67-3.69
Y: 0.0000 0.0000 0.7505  12 La 3.69
Y: 0.0000 0.0000 0.2495  12 La 3.69
Y: 0.0000 0.0000 0.5000  12 La 3.69

Summary:
Its final energy is -5.187 eV per atom. Its crystal system is tetragonal. The energy of formation is 0.16 kcal/mol of atoms.

Computed values of DOS(E_F) (unit: states/eV/cell) for the preceding records, in sequence: 8.96 7.65 6.99 5.44 2.63 5.88 1.40 21.53.